Record 1
{
  "formula": "Sc4CO2",
  "functional": "PBE",
  "state": "optimized geometry",
  "energy_ev_per_fu": -57.35,
  "cell": [[-1.345, 2.458, 1.605], [-4.952, -2.186, -0.804], [3.623, -2.895, 4.223]],
  "species": ["O", "O", "Sc", "Sc", "Sc", "Sc", "C"],
  "fractional_positions": [[0.262, 0.257, 0.524], [0.738, 0.743, 0.476], [0.126, 0.799, 0.252], [0.621, 0.282, 0.242], [0.379, 0.718, 0.758], [0.874, 0.201, 0.748], [0.000, 0.000, 0.000]]
}


Record 2
{
  "formula": "Rb3Ag2SnI9",
  "functional": "PBE",
  "state": "optimized geometry",
  "energy_ev_per_fu": -37.63,
  "cell": [[-5.692, -6.150, 0.225], [5.537, 0.817, 6.241], [-6.591, 6.285, 5.025]],
  "species": ["I", "I", "I", "I", "I", "I", "I", "I", "I", "Ag", "Ag", "Rb", "Rb", "Rb", "Sn"],
  "fractional_positions": [[0.337, 0.168, 0.666], [0.168, 0.337, 0.334], [0.000, 0.500, 0.000], [0.500, 0.000, 0.000], [0.500, 0.500, 0.000], [0.663, 0.832, 0.334], [0.832, 0.663, 0.666], [0.832, 0.168, 0.666], [0.168, 0.832, 0.334], [0.333, 0.667, 0.158], [0.667, 0.333, 0.842], [0.000, 0.000, 0.000], [0.667, 0.333, 0.307], [0.333, 0.667, 0.693], [0.000, 0.000, 0.500]]
}


Record 3
{
  "formula": "Ca2TlCo",
  "functional": "PBE",
  "state": "optimized geometry",
  "energy_ev_per_fu": -12.71,
  "cell": [[-1.818, -4.757, 2.499], [0.257, -4.392, -3.581], [3.778, 3.947, 1.526]],
  "species": ["Ca", "Ca", "Tl", "Co"],
  "fractional_positions": [[0.000, 0.000, 0.000], [0.250, 0.750, 0.500], [0.750, 0.250, 0.500], [0.500, 0.500, 0.000]]
}